Density functional theory data (PBE) for LaTaNi2 after structural relaxation.

Geometry as CIF:
```
data_LaTaNi2
_chemical_formula_sum 'La1 Ta1 Ni2'
_symmetry_space_group_name_H-M 'P 1'
_symmetry_Int_Tables_number 1
_symmetry_space_group_name_Hall 'P 1'
_cell_length_a 4.2180
_cell_length_b 4.2180
_cell_length_c 5.8508
_cell_angle_alpha 109.68
_cell_angle_beta 109.68
_cell_angle_gamma 59.59
loop_
_atom_site_label
_atom_site_type_symbol
_atom_site_fract_x
_atom_site_fract_y
_atom_site_fract_z
La1 La 0.0000 0.0000 0.0000
Ta1 Ta 0.8020 0.8020 0.4343
Ni1 Ni 0.1876 0.1876 0.5961
Ni2 Ni 0.4799 0.4799 0.4660
```

Computed properties:
SG ... Cm (8)

***

Density functional theory data (PBE) for LaTaNi2W after structural relaxation.

Geometry as CIF:
```
data_LaTaNi2W
_chemical_formula_sum 'La1 Ta1 Ni2 W1'
_symmetry_space_group_name_H-M 'P 1'
_symmetry_Int_Tables_number 1
_symmetry_space_group_name_Hall 'P 1'
_cell_length_a 4.4322
_cell_length_b 4.4322
_cell_length_c 5.2117
_cell_angle_alpha 90.00
_cell_angle_beta 90.00
_cell_angle_gamma 90.00
loop_
_atom_site_label
_atom_site_type_symbol
_atom_site_fract_x
_atom_site_fract_y
_atom_site_fract_z
La1 La 0.0000 0.0000 0.0000
Ta1 Ta 0.0000 0.0000 0.5000
Ni1 Ni 0.0000 0.5000 0.0000
Ni2 Ni 0.5000 0.0000 0.0000
W1 W 0.5000 0.5000 0.5000
```

Computed properties:
SG ... P4/mmm (123)

***

Density functional theory data (PBE) for LaY2TaNi after structural relaxation.

Geometry as CIF:
```
data_LaY2TaNi
_chemical_formula_sum 'La1 Y2 Ta1 Ni1'
_symmetry_space_group_name_H-M 'P 1'
_symmetry_Int_Tables_number 1
_symmetry_space_group_name_Hall 'P 1'
_cell_length_a 5.2058
_cell_length_b 5.2058
_cell_length_c 5.1677
_cell_angle_alpha 90.00
_cell_angle_beta 90.00
_cell_angle_gamma 90.00
loop_
_atom_site_label
_atom_site_type_symbol
_atom_site_fract_x
_atom_site_fract_y
_atom_site_fract_z
La1 La 0.0000 0.0000 0.0000
Y1 Y 0.0000 0.5000 0.5000
Y2 Y 0.5000 0.0000 0.5000
Ta1 Ta 0.5000 0.5000 0.0000
Ni1 Ni 0.0000 0.0000 0.5000
```

Computed properties:
SG ... P4/mmm (123)

***

Density functional theory data (PBE) for LaTb2Ni9 after structural relaxation.

Geometry as CIF:
```
data_LaTb2Ni9
_chemical_formula_sum 'La1 Tb2 Ni9'
_symmetry_space_group_name_H-M 'P 1'
_symmetry_Int_Tables_number 1
_symmetry_space_group_name_Hall 'P 1'
_cell_length_a 8.6514
_cell_length_b 8.6514
_cell_length_c 8.6514
_cell_angle_alpha 33.74
_cell_angle_beta 33.74
_cell_angle_gamma 33.74
loop_
_atom_site_label
_atom_site_type_symbol
_atom_site_fract_x
_atom_site_fract_y
_atom_site_fract_z
La1 La 0.0000 0.0000 0.0000
Tb1 Tb 0.1398 0.1398 0.1398
Tb2 Tb 0.8602 0.8602 0.8602
Ni1 Ni 0.0826 0.5838 0.5838
Ni2 Ni 0.3328 0.3328 0.3328
Ni3 Ni 0.4162 0.4162 0.9174
Ni4 Ni 0.4162 0.9174 0.4162
Ni5 Ni 0.5000 0.5000 0.5000
Ni6 Ni 0.5838 0.0826 0.5838
Ni7 Ni 0.5838 0.5838 0.0826
Ni8 Ni 0.6672 0.6672 0.6672
Ni9 Ni 0.9174 0.4162 0.4162
```

Computed properties:
SG ... R-3m (166)

***

Density functional theory data (PBE) for LaTbNi2 after structural relaxation.

Geometry as CIF:
```
data_LaTbNi2
_chemical_formula_sum 'La1 Tb1 Ni2'
_symmetry_space_group_name_H-M 'P 1'
_symmetry_Int_Tables_number 1
_symmetry_space_group_name_Hall 'P 1'
_cell_length_a 3.4531
_cell_length_b 3.4531
_cell_length_c 6.9763
_cell_angle_alpha 90.00
_cell_angle_beta 90.00
_cell_angle_gamma 90.00
loop_
_atom_site_label
_atom_site_type_symbol
_atom_site_fract_x
_atom_site_fract_y
_atom_site_fract_z
La1 La 0.0000 0.0000 0.0000
Tb1 Tb 0.0000 0.0000 0.5000
Ni1 Ni 0.5000 0.5000 0.2708
Ni2 Ni 0.5000 0.5000 0.7292
```

Computed properties:
SG ... P4/mmm (123)

***

Density functional theory data (PBE) for La2Tb2Ni15 after structural relaxation.

Geometry as CIF:
```
data_La2Tb2Ni15
_chemical_formula_sum 'La2 Tb2 Ni15'
_symmetry_space_group_name_H-M 'P 1'
_symmetry_Int_Tables_number 1
_symmetry_space_group_name_Hall 'P 1'
_cell_length_a 6.5457
_cell_length_b 6.5457
_cell_length_c 6.5457
_cell_angle_alpha 82.47
_cell_angle_beta 82.47
_cell_angle_gamma 82.47
loop_
_atom_site_label
_atom_site_type_symbol
_atom_site_fract_x
_atom_site_fract_y
_atom_site_fract_z
La1 La 0.1412 0.1412 0.1412
La2 La 0.8588 0.8588 0.8588
Tb1 Tb 0.3887 0.3887 0.3887
Tb2 Tb 0.6113 0.6113 0.6113
Ni1 Ni 0.0000 0.5000 0.5000
Ni2 Ni 0.1530 0.1530 0.6645
Ni3 Ni 0.1530 0.6645 0.1530
Ni4 Ni 0.1942 0.5000 0.8058
Ni5 Ni 0.1942 0.8058 0.5000
Ni6 Ni 0.3355 0.8470 0.8470
Ni7 Ni 0.5000 0.0000 0.5000
Ni8 Ni 0.5000 0.1942 0.8058
Ni9 Ni 0.5000 0.5000 0.0000
Ni10 Ni 0.5000 0.8058 0.1942
Ni11 Ni 0.6645 0.1530 0.1530
Ni12 Ni 0.8058 0.1942 0.5000
Ni13 Ni 0.8058 0.5000 0.1942
Ni14 Ni 0.8470 0.3355 0.8470
Ni15 Ni 0.8470 0.8470 0.3355
```

Computed properties:
SG ... R-3m (166)

***

Listing energy of formation for the structures above in their given order: -0.039, 2.070, 0.534, -0.381, -0.296, -0.207 eV per atom.
Listing E_tot for the structures above in their given order: -28.50, -30.95, -32.82, -70.79, -22.30, -109.76 eV per cell.
Listing spin magnetization for the structures above in their given order: 0.0000, 0.0000, 0.0528, 0.0023, 0.0000, 0.0765 μB per atom.